(1)
Here is CdTc3Se at its PBEsol-relaxed geometry from the Alexandria database. Energies are from SCAN.

POSCAR file:
```
CdTc3Se
1.0
-1.721 1.464 4.431
1.195 -4.427 1.927
4.511 1.732 1.179
Cd Tc Se
1 3 1
direct
0.000 0.000 0.000
0.500 0.000 0.000
0.000 0.000 0.500
0.000 0.500 0.000
0.500 0.500 0.500
```

Properties
- symmetry = Pm-3m (221)
- total energy (eV/atom) = -28.8170
- D(E_F) (states/eV/cell) = 4.5

=====

(2)
Here is CdTeSe2 at its PBEsol-relaxed geometry from the Alexandria database. Energies are from SCAN.

POSCAR file:
```
CdTeSe2
1.0
3.918 0.000 0.000
-1.959 3.526 0.000
0.000 0.000 7.688
Se Te Cd
2 1 1
direct
0.000 0.000 0.001
0.500 0.000 0.240
0.000 0.000 0.489
0.500 0.000 0.770
```

Properties
- symmetry = Cmm2 (35)
- total energy (eV/atom) = -26.8722
- D(E_F) (states/eV/cell) = 1.8

=====

(3)
Here is CdTeSe2 at its PBEsol-relaxed geometry from the Alexandria database. Energies are from SCAN.

POSCAR file:
```
CdTeSe2
1.0
-1.387 -2.524 2.587
-0.570 -2.583 -2.826
7.940 -0.164 1.200
Cd Se Te
1 2 1
direct
0.000 0.000 0.000
0.750 0.250 0.500
0.250 0.750 0.500
0.500 0.500 0.000
```

Properties
- symmetry = I4/mmm (139)
- total energy (eV/atom) = -26.8017
- D(E_F) (states/eV/cell) = 2.3

=====

(4)
Here is CdTeSe2 at its PBEsol-relaxed geometry from the Alexandria database. Energies are from SCAN.

POSCAR file:
```
CdTeSe2
1.0
4.158 0.000 0.000
0.000 4.158 0.000
0.000 0.000 5.646
Te Cd Se
1 1 2
direct
0.000 0.000 0.375
0.500 0.500 0.875
0.000 0.000 0.875
0.500 0.500 0.375
```

Properties
- symmetry = P4/mmm (123)
- total energy (eV/atom) = -27.1943
- D(E_F) (states/eV/cell) = 1.9

=====

(5)
Here is TiCdSe2 at its PBEsol-relaxed geometry from the Alexandria database. Energies are from SCAN.

POSCAR file:
```
TiCdSe2
1.0
-2.997 -1.072 -5.036
0.707 -5.857 0.826
-3.970 3.282 5.188
Cd Se Ti
2 4 2
direct
0.250 0.750 0.500
0.000 0.000 0.000
0.125 0.148 0.750
0.398 0.875 0.250
0.852 0.375 0.250
0.625 0.602 0.750
0.500 0.500 0.000
0.750 0.250 0.500
```

Properties
- symmetry = I-42d (122)
- total energy (eV/atom) = -22.3894
- D(E_F) (states/eV/cell) = 1.2

=====

(6)
Here is Ti2CdSe at its PBEsol-relaxed geometry from the Alexandria database. Energies are from SCAN.

POSCAR file:
```
Ti2CdSe
1.0
-2.309 -3.919 0.526
1.111 -2.876 3.386
-2.820 -0.535 3.568
Cd Ti Se
1 2 1
direct
0.500 0.500 0.500
0.750 0.750 0.750
0.250 0.250 0.250
0.000 0.000 0.000
```

Properties
- symmetry = Fm-3m (225)
- total energy (eV/atom) = -20.7294
- D(E_F) (states/eV/cell) = 3.6

=====

(7)
Here is Tl2CdSe at its PBEsol-relaxed geometry from the Alexandria database. Energies are from SCAN.

POSCAR file:
```
Tl2CdSe
1.0
5.268 0.000 0.000
2.634 4.562 0.000
2.634 1.521 4.301
Tl Se Cd
2 1 1
direct
0.250 0.250 0.250
0.000 0.000 0.000
0.750 0.750 0.750
0.500 0.500 0.500
```

Properties
- symmetry = F-43m (216)
- E above lowest polymorph (eV per atom) = 0.140
- total energy (eV/atom) = -48.8251
- D(E_F) (states/eV/cell) = 0.7

=====

(8)
Here is Tl2CdSe at its PBEsol-relaxed geometry from the Alexandria database. Energies are from SCAN.

POSCAR file:
```
Tl2CdSe
1.0
3.782 0.000 0.000
0.000 5.294 -0.019
-1.891 -2.641 5.218
Se Tl Cd
1 2 1
direct
0.230 0.726 0.461
0.973 0.975 0.946
0.762 0.261 0.523
0.535 0.538 0.070
```

Properties
- symmetry = Cm (8)
- E above lowest polymorph (eV per atom) = 0.000
- total energy (eV/atom) = -48.9646
- D(E_F) (states/eV/cell) = 1.1

=====

(9)
Here is Cd3WSe at its PBEsol-relaxed geometry from the Alexandria database. Energies are from SCAN.

POSCAR file:
```
Cd3WSe
1.0
5.242 0.000 0.000
0.000 5.242 0.000
0.000 0.000 5.242
Cd Se W
3 1 1
direct
0.000 0.500 0.000
0.500 0.000 0.000
0.000 0.000 0.500
0.500 0.500 0.500
0.000 0.000 0.000
```

Properties
- symmetry = Pm-3m (221)
- total energy (eV/atom) = -34.8198
- D(E_F) (states/eV/cell) = 6.9

=====

(10)
Here is Y2CdSe4 at its PBEsol-relaxed geometry from the Alexandria database. Energies are from SCAN.

POSCAR file:
```
Y2CdSe4
1.0
-2.500 -0.229 7.821
5.524 0.010 6.079
0.839 6.630 4.776
Y Se Cd
4 8 2
direct
0.625 0.625 0.625
0.125 0.625 0.625
0.625 0.125 0.625
0.625 0.625 0.125
0.869 0.869 0.394
0.856 0.381 0.381
0.381 0.856 0.381
0.869 0.869 0.869
0.381 0.381 0.856
0.381 0.381 0.381
0.394 0.869 0.869
0.869 0.394 0.869
0.250 0.250 0.250
0.000 0.000 0.000
```

Properties
- symmetry = Fd-3m (227)
- total energy (eV/atom) = -25.5241

=====

(11)
Here is ZnCdSe4 at its PBEsol-relaxed geometry from the Alexandria database. Energies are from SCAN.

POSCAR file:
```
ZnCdSe4
1.0
5.686 0.000 0.000
2.843 4.925 0.000
2.843 1.642 4.643
Se Cd Zn
4 1 1
direct
0.873 0.376 0.376
0.376 0.376 0.873
0.376 0.376 0.376
0.376 0.873 0.376
0.000 0.000 0.000
0.750 0.750 0.750
```

Properties
- symmetry = F-43m (216)
- total energy (eV/atom) = -20.1454
- D(E_F) (states/eV/cell) = 3.9

=====

(12)
Here is ZnCd2Se2 at its PBEsol-relaxed geometry from the Alexandria database. Energies are from SCAN.

POSCAR file:
```
ZnCd2Se2
1.0
4.442 0.000 0.000
0.000 4.442 0.000
-2.221 -2.221 6.589
Zn Se Cd
1 2 2
direct
0.000 0.000 0.000
0.369 0.369 0.737
0.631 0.631 0.263
0.250 0.750 0.500
0.750 0.250 0.500
```

Properties
- symmetry = I4/mmm (139)
- total energy (eV/atom) = -23.0629

=====

(13)
Here is ZrCdSe at its PBEsol-relaxed geometry from the Alexandria database. Energies are from SCAN.

POSCAR file:
```
ZrCdSe
1.0
-2.888 -1.615 0.698
1.640 -1.984 2.192
-0.403 5.361 2.546
Cd Zr Se
1 1 1
direct
0.999 0.999 0.998
0.308 0.308 0.617
0.692 0.692 0.385
```

Properties
- symmetry = I4mm (107)
- E above lowest polymorph (eV per atom) = 0.000
- total energy (eV/atom) = -27.7144
- D(E_F) (states/eV/cell) = 2.1

=====

(14)
Here is ZrCdSe at its PBEsol-relaxed geometry from the Alexandria database. Energies are from SCAN.

POSCAR file:
```
ZrCdSe
1.0
-1.878 -2.614 -3.337
-1.536 -4.262 0.983
-4.553 -0.874 0.026
Cd Se Zr
1 1 1
direct
0.000 0.000 0.000
0.500 0.500 0.500
0.750 0.750 0.750
```

Properties
- symmetry = F-43m (216)
- E above lowest polymorph (eV per atom) = 0.564
- total energy (eV/atom) = -27.1508
- D(E_F) (states/eV/cell) = 3.1

=====

(15)
Here is CdSi2 at its PBEsol-relaxed geometry from the Alexandria database. Energies are from SCAN.

POSCAR file:
```
CdSi2
1.0
-1.180 -4.065 -1.302
1.780 -3.554 1.953
-2.476 -2.543 2.650
Si Cd
2 1
direct
0.750 0.750 0.750
0.250 0.250 0.250
0.000 0.000 0.000
```

Properties
- symmetry = Fm-3m (225)
- E above lowest polymorph (eV per atom) = 0.241
- total energy (eV/atom) = -16.0033
- D(E_F) (states/eV/cell) = 0.9

=====

(16)
Here is Cd3Si2 at its PBEsol-relaxed geometry from the Alexandria database. Energies are from SCAN.

POSCAR file:
```
Cd3Si2
1.0
-0.610 1.546 -2.802
-0.885 -1.696 -2.637
-10.611 0.948 0.938
Si Cd
2 3
direct
0.399 0.399 0.804
0.601 0.601 0.196
0.797 0.797 0.608
0.000 0.000 0.000
0.203 0.203 0.392
```

Properties
- symmetry = R-3m (166)
- total energy (eV/atom) = -21.7931
- D(E_F) (states/eV/cell) = 1.7

=====

(17)
Here is CdSi3 at its PBEsol-relaxed geometry from the Alexandria database. Energies are from SCAN.

POSCAR file:
```
CdSi3
1.0
-0.070 -0.461 2.669
0.142 -5.227 -0.899
4.620 2.547 0.562
Si Cd
3 1
direct
0.000 0.500 0.500
0.500 0.000 0.500
0.500 0.500 0.000
0.000 0.000 0.000
```

Properties
- symmetry = Cmmm (65)
- E above lowest polymorph (eV per atom) = 0.000
- total energy (eV/atom) = -14.3766
- D(E_F) (states/eV/cell) = 1.7

=====

(18)
Here is Cd3Si5 at its PBEsol-relaxed geometry from the Alexandria database. Energies are from SCAN.

POSCAR file:
```
Cd3Si5
1.0
3.811 0.000 0.000
0.000 6.131 0.243
0.000 -0.771 6.087
Cd Si
3 5
direct
0.500 0.744 0.256
0.500 0.256 0.744
0.000 0.500 0.500
0.500 0.780 0.780
0.000 0.000 0.000
0.500 0.220 0.220
0.000 0.500 0.000
0.000 0.000 0.500
```

Properties
- symmetry = Cmmm (65)
- total energy (eV/atom) = -16.9908
- D(E_F) (states/eV/cell) = 3.3

=====

(19)
Here is CdSi2 at its PBEsol-relaxed geometry from the Alexandria database. Energies are from SCAN.

POSCAR file:
```
CdSi2
1.0
5.874 0.000 0.000
0.000 6.727 0.000
0.000 -3.363 5.825
Si Cd
6 3
direct
0.351 0.752 0.000
0.649 0.000 0.248
0.649 0.248 0.000
0.351 0.248 0.248
0.351 0.000 0.752
0.649 0.752 0.752
0.000 0.000 0.000
0.500 0.667 0.333
0.500 0.333 0.667
```

Properties
- symmetry = P-31m (162)
- E above lowest polymorph (eV per atom) = 0.000
- total energy (eV/atom) = -16.2447
- D(E_F) (states/eV/cell) = 2.5

=====

(20)
Here is Cd3Si4 at its PBEsol-relaxed geometry from the Alexandria database. Energies are from SCAN.

POSCAR file:
```
Cd3Si4
1.0
5.328 0.000 0.000
0.000 5.328 0.000
0.000 0.000 5.328
Si Cd
4 3
direct
0.163 0.837 0.163
0.837 0.163 0.163
0.837 0.837 0.837
0.163 0.163 0.837
0.500 0.500 0.000
0.500 0.000 0.500
0.000 0.500 0.500
```

Properties
- symmetry = P-43m (215)
- total energy (eV/atom) = -18.2112
- D(E_F) (states/eV/cell) = 4.1